No. 1
# NaLa2Zn

A relaxed NaLa2Zn crystal (PBE, the Open Quantum Materials Database).

Values from the calculation:
- V (A^3/atom) = 27.8
- SG = No. 216
- VASP energy (eV/atom) = -2.911

Lattice parameters (Å, degrees): 5.395 5.395 5.395 60.00 60.00 60.00
Fractional positions:
Na 0.000 0.000 0.000
La 0.250 0.250 0.250
La 0.500 0.500 0.500
Zn 0.750 0.750 0.750

---

No. 2
# LaNb

A relaxed LaNb crystal (PBE, the Open Quantum Materials Database).

Values from the calculation:
- V (A^3/atom) = 27.7
- SG = No. 225
- VASP energy (eV/atom) = -6.186
- energy of formation (eV/atom) = 1.32

Lattice parameters (Å, degrees): 4.277 4.277 4.277 60.00 60.00 60.00
Fractional positions:
La 0.000 0.000 0.000
Nb 0.500 0.500 0.500

---

No. 3
# LaNb

A relaxed LaNb crystal (PBE, the Open Quantum Materials Database).

Values from the calculation:
- V (A^3/atom) = 30.4
- SG = No. 216
- VASP energy (eV/atom) = -5.447
- energy of formation (eV/atom) = 2.06

Lattice parameters (Å, degrees): 4.413 4.413 4.413 60.00 60.00 60.00
Fractional positions:
La 0.000 0.000 0.000
Nb 0.750 0.750 0.750

---

No. 4
# LaNb2

A relaxed LaNb2 crystal (PBE, the Open Quantum Materials Database).

Values from the calculation:
- V (A^3/atom) = 23.2
- SG = No. 227
- VASP energy (eV/atom) = -8.093
- energy of formation (eV/atom) = 0.28

Lattice parameters (Å, degrees): 5.819 5.819 5.819 60.00 60.00 60.00
Fractional positions:
La 0.125 0.125 0.125
La 0.875 0.875 0.875
Nb 0.000 0.500 0.500
Nb 0.500 0.000 0.500
Nb 0.500 0.500 0.000
Nb 0.500 0.500 0.500

---

No. 5
# La2Nb

A relaxed La2Nb crystal (PBE, the Open Quantum Materials Database).

Values from the calculation:
- V (A^3/atom) = 28.7
- SG = No. 227
- VASP energy (eV/atom) = -5.637
- energy of formation (eV/atom) = 1.01

Lattice parameters (Å, degrees): 6.243 6.243 6.243 60.00 60.00 60.00
Fractional positions:
La 0.000 0.000 0.000
La 0.000 0.000 0.500
La 0.000 0.500 0.000
La 0.500 0.000 0.000
Nb 0.375 0.375 0.375
Nb 0.625 0.625 0.625

---

No. 6
# La2Nb

A relaxed La2Nb crystal (PBE, the Open Quantum Materials Database).

Values from the calculation:
- V (A^3/atom) = 71.7
- SG = No. 227
- VASP energy (eV/atom) = -5.240
- energy of formation (eV/atom) = 1.41

Lattice parameters (Å, degrees): 8.473 8.473 8.473 60.00 60.00 60.00
Fractional positions:
La 0.000 0.000 0.000
La 0.000 0.000 0.500
La 0.000 0.500 0.000
La 0.500 0.000 0.000
Nb 0.125 0.125 0.125
Nb 0.875 0.875 0.875

---

No. 7
# LaNb2

A relaxed LaNb2 crystal (PBE, the Open Quantum Materials Database).

Values from the calculation:
- V (A^3/atom) = 61.8
- SG = No. 227
- VASP energy (eV/atom) = -4.635
- energy of formation (eV/atom) = 3.74

Lattice parameters (Å, degrees): 8.063 8.063 8.063 60.00 60.00 60.00
Fractional positions:
La 0.125 0.125 0.125
La 0.875 0.875 0.875
Nb 0.000 0.000 0.000
Nb 0.000 0.000 0.500
Nb 0.000 0.500 0.000
Nb 0.500 0.000 0.000

---

No. 8
# LaNb

A relaxed LaNb crystal (PBE, the Open Quantum Materials Database).

Values from the calculation:
- V (A^3/atom) = 24.4
- SG = No. 187
- VASP energy (eV/atom) = -6.878
- energy of formation (eV/atom) = 0.63

Lattice parameters (Å, degrees): 3.176 3.176 5.587 90.00 90.00 120.00
Fractional positions:
La 0.000 0.000 0.000
Nb 0.667 0.333 0.500

---

No. 9
# LaNdNb

A relaxed LaNdNb crystal (PBE, the Open Quantum Materials Database).

Values from the calculation:
- V (A^3/atom) = 31.9
- SG = No. 216
- VASP energy (eV/atom) = -5.845
- energy of formation (eV/atom) = 0.75

Lattice parameters (Å, degrees): 5.134 5.134 5.134 60.00 60.00 60.00
Fractional positions:
La 0.000 0.000 0.000
Nd 0.500 0.500 0.500
Nb 0.250 0.250 0.250

---

No. 10
# LaNbNi2Sn2

A relaxed LaNbNi2Sn2 crystal (PBE, the Open Quantum Materials Database).

Values from the calculation:
- V (A^3/atom) = 21.0
- SG = No. 31
- VASP energy (eV/atom) = -6.149

Lattice parameters (Å, degrees): 4.391 9.024 6.351 90.00 90.00 90.00
Fractional positions:
La 0.000 0.120 0.000
La 0.500 0.880 0.500
Nb 0.000 0.621 0.998
Nb 0.500 0.379 0.498
Ni 0.000 0.392 0.741
Ni 0.000 0.839 0.772
Ni 0.500 0.161 0.272
Ni 0.500 0.608 0.241
Sn 0.000 0.151 0.505
Sn 0.000 0.612 0.487
Sn 0.500 0.388 0.987
Sn 0.500 0.849 0.005